# 1
A relaxed structure of YTc. Source: the Alexandria database, functional PBE.

Calculated values
ΔH_f (0 K) ... 0.26 eV per formula unit
E_tot ... -8.287 eV/atom

Cell and atoms, written as CIF:
```
data_YTc
_cell_length_a 11.4405
_cell_length_b 3.3244
_cell_length_c 7.3896
_cell_angle_alpha 90.00
_cell_angle_beta 109.22
_cell_angle_gamma 90.00
_symmetry_space_group_name_H-M 'C 1 m 1'
_symmetry_Int_Tables_number 8
loop_
_symmetry_equiv_pos_as_xyz
'x,y,z'
'x,-y,z'
'x+1/2,y+1/2,z'
'x+1/2,-y+1/2,z'
loop_
_atom_site_label
_atom_site_type_symbol
_atom_site_fract_x
_atom_site_fract_y
_atom_site_fract_z
Y1 Y 0.0000 0.0000 0.0000
Y2 Y 0.0038 0.0000 0.5526
Y3 Y 0.2082 0.5000 0.3788
Tc1 Tc 0.2280 0.5000 0.9533
Tc2 Tc 0.2744 0.0000 0.7382
Tc3 Tc 0.3598 0.0000 0.2042
```



# 2
A relaxed structure of YTc2. Source: the Alexandria database, functional PBE.

Calculated values
ΔH_f (0 K) ... -0.53 eV per formula unit
E above lowest polymorph ... 0 meV per atom
E_tot ... -9.241 eV/atom

Cell and atoms, written as CIF:
```
data_YTc2
_cell_length_a 5.4040
_cell_length_b 5.4040
_cell_length_c 8.8249
_cell_angle_alpha 90.00
_cell_angle_beta 90.00
_cell_angle_gamma 120.00
_symmetry_space_group_name_H-M 'P 63/m m c'
_symmetry_Int_Tables_number 194
_symmetry_space_group_name_Hall '-P 6c 2c'
loop_
_atom_site_label
_atom_site_type_symbol
_atom_site_fract_x
_atom_site_fract_y
_atom_site_fract_z
Y1 Y 0.3333 0.6667 0.0624
Tc1 Tc 0.0000 0.0000 0.0000
Tc2 Tc 0.1712 0.3424 0.7500
```



# 3
A relaxed structure of YTc3. Source: the Alexandria database, functional PBE.

Calculated values
ΔH_f (0 K) ... 1.13 eV per formula unit
E above lowest polymorph ... 100 meV per atom
E_tot ... -9.108 eV/atom

Cell and atoms, written as CIF:
```
data_YTc3
_cell_length_a 2.9716
_cell_length_b 4.2631
_cell_length_c 5.6939
_cell_angle_alpha 90.00
_cell_angle_beta 102.41
_cell_angle_gamma 90.00
_symmetry_space_group_name_H-M 'P 1 2/m 1'
_symmetry_Int_Tables_number 10
loop_
_symmetry_equiv_pos_as_xyz
'x,y,z'
'-x,-y,-z'
'-x,y,-z'
'x,-y,z'
loop_
_atom_site_label
_atom_site_type_symbol
_atom_site_fract_x
_atom_site_fract_y
_atom_site_fract_z
Y1 Y 0.0000 0.0000 0.0000
Tc1 Tc 0.2799 0.5000 0.7064
Tc2 Tc 0.5000 0.0000 0.5000
```



# 4
A relaxed structure of YTc3. Source: the Alexandria database, functional PBE.

Calculated values
ΔH_f (0 K) ... 0.86 eV per formula unit
E above lowest polymorph ... 31 meV per atom
E_tot ... -9.176 eV/atom

Cell and atoms, written as CIF:
```
data_YTc3
_cell_length_a 3.1585
_cell_length_b 4.7479
_cell_length_c 9.1918
_cell_angle_alpha 90.00
_cell_angle_beta 90.00
_cell_angle_gamma 90.00
_symmetry_space_group_name_H-M 'I m m m'
_symmetry_Int_Tables_number 71
_symmetry_space_group_name_Hall '-I 2 2'
loop_
_atom_site_label
_atom_site_type_symbol
_atom_site_fract_x
_atom_site_fract_y
_atom_site_fract_z
Y1 Y 0.0000 0.0000 0.0000
Tc1 Tc 0.0000 0.0000 0.5000
Tc2 Tc 0.0000 0.5000 0.2277
```



# 5
A relaxed structure of YTc. Source: the Alexandria database, functional PBE.

Calculated values
ΔH_f (0 K) ... 0.28 eV per formula unit
E_tot ... -8.274 eV/atom

Cell and atoms, written as CIF:
```
data_YTc
_cell_length_a 4.8640
_cell_length_b 4.8640
_cell_length_c 4.7607
_cell_angle_alpha 90.00
_cell_angle_beta 90.00
_cell_angle_gamma 120.00
_symmetry_space_group_name_H-M 'P 63/m m c'
_symmetry_Int_Tables_number 194
_symmetry_space_group_name_Hall '-P 6c 2c'
loop_
_atom_site_label
_atom_site_type_symbol
_atom_site_fract_x
_atom_site_fract_y
_atom_site_fract_z
Y1 Y 0.3333 0.6667 0.2500
Tc1 Tc 0.0000 0.0000 0.0000
```



# 6
A relaxed structure of Y5Tc. Source: the Alexandria database, functional PBE.

Calculated values
ΔH_f (0 K) ... 0.73 eV per formula unit
E above lowest polymorph ... 117 meV per atom
E_tot ... -6.992 eV/atom

Cell and atoms, written as CIF:
```
data_Y5Tc
_cell_length_a 5.4078
_cell_length_b 3.7917
_cell_length_c 16.5827
_cell_angle_alpha 90.00
_cell_angle_beta 90.00
_cell_angle_gamma 90.00
_symmetry_space_group_name_H-M 'A m m 2'
_symmetry_Int_Tables_number 38
loop_
_symmetry_equiv_pos_as_xyz
'x,y,z'
'-x,-y,z'
'-x,y,z'
'x,-y,z'
'x,y+1/2,z+1/2'
'-x,-y+1/2,z+1/2'
'-x,y+1/2,z+1/2'
'x,-y+1/2,z+1/2'
loop_
_atom_site_label
_atom_site_type_symbol
_atom_site_fract_x
_atom_site_fract_y
_atom_site_fract_z
Y1 Y 0.0000 0.0000 0.0000
Y2 Y 0.0000 0.0000 0.2683
Y3 Y 0.5000 0.0000 0.1133
Y4 Y 0.5000 0.0000 0.4342
Y5 Y 0.5000 0.0000 0.7649
Tc1 Tc 0.0000 0.0000 0.6388
```